[1]
Here is a relaxed NdHo5Sc2 crystal from Alexandria. Energies are from GGA-PBE.

Cell: 11.246 12.089 7.010 Å, 90.00 90.00 90.00°
Positions (direct):
Nd (0.247, 0.080, 0.000)
Nd (0.253, 0.580, 0.000)
Nd (0.747, 0.420, 0.000)
Nd (0.753, 0.920, 0.000)
Ho (0.000, 0.247, 0.000)
Ho (0.000, 0.500, 0.255)
Ho (0.000, 0.500, 0.745)
Ho (0.000, 0.753, 0.000)
Ho (0.001, 0.246, 0.500)
Ho (0.249, 0.833, 0.255)
Ho (0.249, 0.833, 0.745)
Ho (0.251, 0.333, 0.255)
Ho (0.251, 0.333, 0.745)
Ho (0.499, 0.746, 0.500)
Ho (0.500, 0.000, 0.255)
Ho (0.500, 0.000, 0.745)
Ho (0.500, 0.253, 0.000)
Ho (0.500, 0.747, 0.000)
Ho (0.501, 0.254, 0.500)
Ho (0.749, 0.667, 0.255)
Ho (0.749, 0.667, 0.745)
Ho (0.751, 0.167, 0.255)
Ho (0.751, 0.167, 0.745)
Ho (0.999, 0.754, 0.500)
Sc (0.000, 0.000, 0.257)
Sc (0.000, 0.000, 0.743)
Sc (0.246, 0.083, 0.500)
Sc (0.254, 0.583, 0.500)
Sc (0.500, 0.500, 0.257)
Sc (0.500, 0.500, 0.743)
Sc (0.746, 0.417, 0.500)
Sc (0.754, 0.917, 0.500)

Results
density of states at the Fermi level: 11.49 states/eV/f.u.
spin magnetization: 0.000 μB/atom
symmetry: Pbam
theoretical density: 7.38 g/cm³
total energy: -5.01 eV/atom

=====

[2]
Here is a relaxed Li4InPb crystal from Alexandria. Energies are from GGA-PBE.

Cell: 5.342 5.342 4.901 Å, 90.00 90.00 125.36°
Positions (direct):
Li (0.173, 0.827, 0.000)
Li (0.325, 0.675, 0.500)
Li (0.675, 0.325, 0.500)
Li (0.827, 0.173, 0.000)
In (0.500, 0.500, 0.000)
Pb (0.000, 0.000, 0.500)

Results
relative energy among the computed polymorphs: 0 meV/atom
density of states at the Fermi level: 1.02 states/eV/f.u.
spin magnetization: 0.000 μB/atom
symmetry: Cmmm
theoretical density: 5.09 g/cm³
total energy: -2.64 eV/atom